(1)
The following is a GGA-PBE calculation of a relaxed Ce6CoAu2 crystal, from the Alexandria database.

```
Ce6CoAu2
1.0
6.1935 0.0000 0.0000
0.0000 8.3636 0.0000
-5.1573 0.0000 8.6051
Ce Co Au
12 2 4
Cartesian
-2.2462 1.3566 4.0647
-4.8249 2.8252 8.3673
-0.3532 6.1095 4.0764
-2.9318 6.4360 8.3790
0.9361 0.3484 2.2399
-1.6426 3.8334 6.5425
2.6788 4.5303 2.0626
0.1002 8.0152 6.3652
3.9681 1.9277 0.2261
1.3895 2.2542 4.5287
5.8611 5.5384 0.2378
3.2825 7.0070 4.5404
0.0000 0.0000 0.0000
-2.5786 4.1818 4.3026
-3.1269 0.7325 6.8945
-0.5483 3.4494 2.5919
1.5845 4.9143 6.0132
4.1632 7.6312 1.7106
```

* theoretical density: 9.638 g cm⁻³
* energy relative to the elements: -2.638 eV/f.u.
* density of states at the Fermi level: 2.275 states/eV/atom

=====

(2)
The following is a GGA-PBE calculation of a relaxed Ce5Co2Au2 crystal, from the Alexandria database.

```
Ce5Co2Au2
1.0
7.8008 -3.9676 0.0000
7.8008 3.9676 0.0000
0.0000 0.0000 6.7030
Ce Co Au
10 4 4
Cartesian
0.0000 0.0000 0.0000
5.8982 2.5112 4.4014
5.8982 1.4564 1.0499
9.7033 2.5112 4.4014
9.7033 1.4564 1.0499
7.8008 0.0000 3.3515
5.8982 -1.4564 5.6530
5.8982 -2.5112 2.3016
9.7033 -1.4564 5.6530
9.7033 -2.5112 2.3016
7.8008 3.1511 2.2857
7.8008 0.8165 5.6371
7.8008 -0.8165 1.0658
7.8008 -3.1511 4.4173
3.3981 0.0000 0.0000
4.4027 0.0000 3.3515
11.1989 0.0000 3.3515
12.2035 0.0000 0.0000
```

* theoretical density: 9.704 g cm⁻³
* energy relative to the elements: -3.077 eV/f.u.
* density of states at the Fermi level: 2.216 states/eV/atom

=====

(3)
The following is a GGA-PBE calculation of a relaxed Ce2Co2Au crystal, from the Alexandria database.

```
Ce2Co2Au
1.0
7.2248 0.0000 0.0000
0.0000 7.2248 0.0000
0.0000 0.0000 3.5810
Ce Co Au
4 4 2
Cartesian
1.2558 2.3566 0.0000
2.3566 5.9690 0.0000
4.8682 1.2558 0.0000
5.9690 4.8682 0.0000
0.9512 4.5636 1.7905
2.6612 0.9512 1.7905
4.5636 6.2736 1.7905
6.2736 2.6612 1.7905
0.0000 0.0000 1.7905
3.6124 3.6124 1.7905
```

* theoretical density: 10.573 g cm⁻³
* energy relative to the elements: -1.957 eV/f.u.
* density of states at the Fermi level: 0.977 states/eV/atom